This record from the Alexandria database describes a geometry-optimized LaHoEr2Tm2 structure. The functional is PBE-GGA.

ΔH_f (0 K) ... 286 meV/atom
Total moment ... 0.000 μB/atom
VASP energy ... -0.31674 Ry/atom
D(E_F) ... 19.1 states/eV/cell

Geometry as CIF:
```
data_LaHoEr2Tm2
_chemical_formula_sum 'La2 Ho2 Er4 Tm4'
_space_group_name_H-M_alt 'P n n m'
_space_group_IT_number 58
_cell_length_a 6.508
_cell_length_b 17.743
_cell_length_c 3.372
_cell_angle_alpha 90.00
_cell_angle_beta 90.00
_cell_angle_gamma 90.00
loop_
_space_group_symop_operation_xyz
'x,y,z'
'-x,-y,-z'
'-x,-y,z'
'x,y,-z'
'x+1/2,-y+1/2,-z+1/2'
'-x+1/2,y+1/2,z+1/2'
'-x+1/2,y+1/2,-z+1/2'
'x+1/2,-y+1/2,z+1/2'
loop_
_atom_site_label
_atom_site_fract_x
_atom_site_fract_y
_atom_site_fract_z
La1 0.000 0.000 0.000
Ho1 0.000 0.500 0.000
Er1 0.213 0.351 0.500
Tm1 0.216 0.187 0.000
```